1.
# InW2Se PBE-GGA optimized geometry
# total magnetization: 0.0 μB per cell
# energy above the most stable polymorph in this dataset: 386.6 meV/atom
# E_tot: -7.34 eV/atom
data_InW2Se
_chemical_formula_sum 'In2 W4 Se2'
_cell_length_a 9.424
_cell_length_b 3.080
_cell_length_c 4.985
_cell_angle_alpha 90.00
_cell_angle_beta 102.36
_cell_angle_gamma 90.00
_space_group_name_H-M_alt 'C 1 2/m 1'
_space_group_IT_number 12
_space_group_name_Hall '-C 2y'
loop_
_atom_site_label
_atom_site_fract_x
_atom_site_fract_y
_atom_site_fract_z
In1 0.000 0.000 0.000
W1 0.243 0.000 0.739
Se1 0.000 0.500 0.500

2.
# Dy2Y3PuS6 PBE-GGA optimized geometry
# total magnetization: 11.8 μB per cell
# E_tot: -7.62 eV/atom
data_Dy2Y3PuS6
_chemical_formula_sum 'Dy4 Y6 Pu2 S12'
_cell_length_a 17.088
_cell_length_b 3.904
_cell_length_c 7.863
_cell_angle_alpha 90.00
_cell_angle_beta 103.33
_cell_angle_gamma 90.00
_space_group_name_H-M_alt 'C 1 2/m 1'
_space_group_IT_number 12
_space_group_name_Hall '-C 2y'
loop_
_atom_site_label
_atom_site_fract_x
_atom_site_fract_y
_atom_site_fract_z
Dy1 0.164 0.000 0.329
Y1 0.000 0.500 0.500
Y2 0.165 0.000 0.836
Pu1 0.000 0.500 0.000
S1 0.000 0.000 0.252
S2 0.168 0.500 0.085
S3 0.168 0.500 0.583

Q: Which value of E_tot does entry 2 give?
A: -7.62 eV/atom

What did the second record say?
# Dy2Y3PuS6 PBE-GGA optimized geometry
# total magnetization: 11.8 μB per cell
# E_tot: -7.62 eV/atom
data_Dy2Y3PuS6
_chemical_formula_sum 'Dy4 Y6 Pu2 S12'
_cell_length_a 17.088
_cell_length_b 3.904
_cell_length_c 7.863
_cell_angle_alpha 90.00
_cell_angle_beta 103.33
_cell_angle_gamma 90.00
_space_group_name_H-M_alt 'C 1 2/m 1'
_space_group_IT_number 12
_space_group_name_Hall '-C 2y'
loop_
_atom_site_label
_atom_site_fract_x
_atom_site_fract_y
_atom_site_fract_z
Dy1 0.164 0.000 0.329
Y1 0.000 0.500 0.500
Y2 0.165 0.000 0.836
Pu1 0.000 0.500 0.000
S1 0.000 0.000 0.252
S2 0.168 0.500 0.085
S3 0.168 0.500 0.583

Q: Among the records above, which one has the highest total magnetization?
A: Dy2Y3PuS6